<w>
Material: CsCoTc3
Method: DFT, PBE
State: optimized geometry

Geometry as CIF:
```
data_CsCoTc3
_space_group_name_H-M_alt 'P m -3 m'
_space_group_IT_number 221
_space_group_name_Hall '-P 4 2 3'
_cell_length_a 4.6883
_cell_length_b 4.6883
_cell_length_c 4.6883
_cell_angle_alpha 90.00
_cell_angle_beta 90.00
_cell_angle_gamma 90.00
loop_
_atom_site_label
_atom_site_type_symbol
_atom_site_fract_x
_atom_site_fract_y
_atom_site_fract_z
Cs1 Cs 0.0000 0.0000 0.0000
Co1 Co 0.5000 0.5000 0.5000
Tc1 Tc 0.0000 0.5000 0.5000
```

Values from the calculation:
**Magnetization**: 4.8 μB per formula unit

<x>
Material: CsCoTc3
Method: DFT, PBE
State: optimized geometry

Geometry as CIF:
```
data_CsCoTc3
_space_group_name_H-M_alt 'P m -3 m'
_space_group_IT_number 221
_space_group_name_Hall '-P 4 2 3'
_cell_length_a 4.8878
_cell_length_b 4.8878
_cell_length_c 4.8878
_cell_angle_alpha 90.00
_cell_angle_beta 90.00
_cell_angle_gamma 90.00
loop_
_atom_site_label
_atom_site_type_symbol
_atom_site_fract_x
_atom_site_fract_y
_atom_site_fract_z
Cs1 Cs 0.0000 0.0000 0.0000
Co1 Co 0.5000 0.5000 0.5000
Tc1 Tc 0.0000 0.0000 0.5000
```

Values from the calculation:
**Magnetization**: 6.6 μB per formula unit

Relative energy of each structure, in kJ/mol of atoms: <w> 0.0; <x> 153.3.

<w>
Material: CsCoTe2
Method: DFT, PBE
State: optimized geometry

Geometry as CIF:
```
data_CsCoTe2
_space_group_name_H-M_alt 'R -3 m'
_space_group_IT_number 166
_space_group_name_Hall '-R 3 2"'
_cell_length_a 6.7199
_cell_length_b 6.7199
_cell_length_c 13.0343
_cell_angle_alpha 90.00
_cell_angle_beta 90.00
_cell_angle_gamma 120.00
loop_
_atom_site_label
_atom_site_type_symbol
_atom_site_fract_x
_atom_site_fract_y
_atom_site_fract_z
Cs1 Cs 0.0000 0.0000 0.0000
Co1 Co 0.0000 0.0000 0.5000
Te1 Te 0.0000 0.0000 0.3171
```

Values from the calculation:
**Magnetization**: 1.8 μB per formula unit

<x>
Material: CsCoTe2
Method: DFT, PBE
State: optimized geometry

Geometry as CIF:
```
data_CsCoTe2
_space_group_name_H-M_alt 'R -3 m'
_space_group_IT_number 166
_space_group_name_Hall '-R 3 2"'
_cell_length_a 3.9150
_cell_length_b 3.9150
_cell_length_c 29.8173
_cell_angle_alpha 90.00
_cell_angle_beta 90.00
_cell_angle_gamma 120.00
loop_
_atom_site_label
_atom_site_type_symbol
_atom_site_fract_x
_atom_site_fract_y
_atom_site_fract_z
Cs1 Cs 0.0000 0.0000 0.0000
Co1 Co 0.0000 0.0000 0.5000
Te1 Te 0.0000 0.0000 0.1235
```

Values from the calculation:
**Magnetization**: 0.1 μB per formula unit

<y>
Material: CsCoTe2
Method: DFT, PBE
State: optimized geometry

Geometry as CIF:
```
data_CsCoTe2
_space_group_name_H-M_alt 'F m -3 m'
_space_group_IT_number 225
_space_group_name_Hall '-F 4 2 3'
_cell_length_a 7.8878
_cell_length_b 7.8878
_cell_length_c 7.8878
_cell_angle_alpha 90.00
_cell_angle_beta 90.00
_cell_angle_gamma 90.00
loop_
_atom_site_label
_atom_site_type_symbol
_atom_site_fract_x
_atom_site_fract_y
_atom_site_fract_z
Cs1 Cs 0.0000 0.0000 0.0000
Co1 Co 0.0000 0.0000 0.5000
Te1 Te 0.2500 0.2500 0.2500
```

Values from the calculation:
**Magnetization**: 2.2 μB per formula unit

Relative energy of each structure, in kJ/mol of atoms: <w> 26.9; <x> 0.0; <y> 63.6.

<w>
Material: CsTiCo3
Method: DFT, PBE
State: optimized geometry

Geometry as CIF:
```
data_CsTiCo3
_space_group_name_H-M_alt 'P m -3 m'
_space_group_IT_number 221
_space_group_name_Hall '-P 4 2 3'
_cell_length_a 4.5906
_cell_length_b 4.5906
_cell_length_c 4.5906
_cell_angle_alpha 90.00
_cell_angle_beta 90.00
_cell_angle_gamma 90.00
loop_
_atom_site_label
_atom_site_type_symbol
_atom_site_fract_x
_atom_site_fract_y
_atom_site_fract_z
Cs1 Cs 0.0000 0.0000 0.0000
Ti1 Ti 0.5000 0.5000 0.5000
Co1 Co 0.0000 0.0000 0.5000
```

Values from the calculation:
**Magnetization**: 0.0 μB per formula unit

<x>
Material: CsTiCo3
Method: DFT, PBE
State: optimized geometry

Geometry as CIF:
```
data_CsTiCo3
_space_group_name_H-M_alt 'P m -3 m'
_space_group_IT_number 221
_space_group_name_Hall '-P 4 2 3'
_cell_length_a 4.6559
_cell_length_b 4.6559
_cell_length_c 4.6559
_cell_angle_alpha 90.00
_cell_angle_beta 90.00
_cell_angle_gamma 90.00
loop_
_atom_site_label
_atom_site_type_symbol
_atom_site_fract_x
_atom_site_fract_y
_atom_site_fract_z
Cs1 Cs 0.0000 0.0000 0.0000
Ti1 Ti 0.5000 0.5000 0.5000
Co1 Co 0.0000 0.5000 0.5000
```

Values from the calculation:
**Magnetization**: 1.7 μB per formula unit

Relative energy of each structure, in kJ/mol of atoms: <w> 103.5; <x> 0.0.

<w>
Material: CsTi3Co
Method: DFT, PBE
State: optimized geometry

Geometry as CIF:
```
data_CsTi3Co
_space_group_name_H-M_alt 'P m -3 m'
_space_group_IT_number 221
_space_group_name_Hall '-P 4 2 3'
_cell_length_a 4.9040
_cell_length_b 4.9040
_cell_length_c 4.9040
_cell_angle_alpha 90.00
_cell_angle_beta 90.00
_cell_angle_gamma 90.00
loop_
_atom_site_label
_atom_site_type_symbol
_atom_site_fract_x
_atom_site_fract_y
_atom_site_fract_z
Cs1 Cs 0.0000 0.0000 0.0000
Ti1 Ti 0.0000 0.0000 0.5000
Co1 Co 0.5000 0.5000 0.5000
```

Values from the calculation:
**Magnetization**: 3.8 μB per formula unit

<x>
Material: CsTi3Co
Method: DFT, PBE
State: optimized geometry

Geometry as CIF:
```
data_CsTi3Co
_space_group_name_H-M_alt 'P m -3 m'
_space_group_IT_number 221
_space_group_name_Hall '-P 4 2 3'
_cell_length_a 4.7691
_cell_length_b 4.7691
_cell_length_c 4.7691
_cell_angle_alpha 90.00
_cell_angle_beta 90.00
_cell_angle_gamma 90.00
loop_
_atom_site_label
_atom_site_type_symbol
_atom_site_fract_x
_atom_site_fract_y
_atom_site_fract_z
Cs1 Cs 0.0000 0.0000 0.0000
Ti1 Ti 0.0000 0.5000 0.5000
Co1 Co 0.5000 0.5000 0.5000
```

Values from the calculation:
**Magnetization**: 0.0 μB per formula unit

Relative energy of each structure, in kJ/mol of atoms: <w> 153.3; <x> 0.0.

<w>
Material: CsTl3Co
Method: DFT, PBE
State: optimized geometry

Geometry as CIF:
```
data_CsTl3Co
_space_group_name_H-M_alt 'P m -3 m'
_space_group_IT_number 221
_space_group_name_Hall '-P 4 2 3'
_cell_length_a 5.3042
_cell_length_b 5.3042
_cell_length_c 5.3042
_cell_angle_alpha 90.00
_cell_angle_beta 90.00
_cell_angle_gamma 90.00
loop_
_atom_site_label
_atom_site_type_symbol
_atom_site_fract_x
_atom_site_fract_y
_atom_site_fract_z
Cs1 Cs 0.0000 0.0000 0.0000
Tl1 Tl 0.0000 0.5000 0.5000
Co1 Co 0.5000 0.5000 0.5000
```

Values from the calculation:
**Magnetization**: 0.7 μB per formula unit

<x>
Material: CsTl3Co
Method: DFT, PBE
State: optimized geometry

Geometry as CIF:
```
data_CsTl3Co
_space_group_name_H-M_alt 'P m -3 m'
_space_group_IT_number 221
_space_group_name_Hall '-P 4 2 3'
_cell_length_a 6.5705
_cell_length_b 6.5705
_cell_length_c 6.5705
_cell_angle_alpha 90.00
_cell_angle_beta 90.00
_cell_angle_gamma 90.00
loop_
_atom_site_label
_atom_site_type_symbol
_atom_site_fract_x
_atom_site_fract_y
_atom_site_fract_z
Cs1 Cs 0.0000 0.0000 0.0000
Tl1 Tl 0.0000 0.0000 0.5000
Co1 Co 0.5000 0.5000 0.5000
```

Values from the calculation:
**Magnetization**: 1.9 μB per formula unit

Relative energy of each structure, in kJ/mol of atoms: <w> 0.0; <x> 136.0.

<w>
Material: CsCo2W2
Method: DFT, PBE
State: optimized geometry

Geometry as CIF:
```
data_CsCo2W2
_space_group_name_H-M_alt 'I 4/m m m'
_space_group_IT_number 139
_space_group_name_Hall '-I 4 2'
_cell_length_a 4.1729
_cell_length_b 4.1729
_cell_length_c 15.0113
_cell_angle_alpha 90.00
_cell_angle_beta 90.00
_cell_angle_gamma 90.00
loop_
_atom_site_label
_atom_site_type_symbol
_atom_site_fract_x
_atom_site_fract_y
_atom_site_fract_z
Cs1 Cs 0.0000 0.0000 0.0000
Co1 Co 0.0000 0.0000 0.3242
W1 W 0.0000 0.5000 0.2500
```

Values from the calculation:
**Magnetization**: 0.0 μB per formula unit

<x>
Material: CsCo2W2
Method: DFT, PBE
State: optimized geometry

Geometry as CIF:
```
data_CsCo2W2
_space_group_name_H-M_alt 'P 4/m b m'
_space_group_IT_number 127
_space_group_name_Hall '-P 4 2ab'
_cell_length_a 8.0293
_cell_length_b 8.0293
_cell_length_c 2.8186
_cell_angle_alpha 90.00
_cell_angle_beta 90.00
_cell_angle_gamma 90.00
loop_
_atom_site_label
_atom_site_type_symbol
_atom_site_fract_x
_atom_site_fract_y
_atom_site_fract_z
Cs1 Cs 0.0000 0.0000 0.0000
Co1 Co 0.1600 0.3400 0.0000
W1 W 0.1111 0.6111 0.5000
```

Values from the calculation:
**Magnetization**: 0.0 μB per formula unit

Relative energy of each structure, in kJ/mol of atoms: <w> 0.0; <x> 28.1.